# LiTa4Cr (PBE-GGA, optimized geometry)
# * crystal system: cubic
# * volume: 459.7 Å³/cell
# * raw total energy: -54.76 eV per formula unit
data_LiTa4Cr
_symmetry_space_group_name_H-M 'F -4 3 m'
_symmetry_Int_Tables_number 216
_symmetry_space_group_name_Hall 'F -4 2 3'
_cell_length_a 7.718
_cell_length_b 7.718
_cell_length_c 7.718
_cell_angle_alpha 90.00
_cell_angle_beta 90.00
_cell_angle_gamma 90.00
loop_
_atom_site_label
_atom_site_type_symbol
_atom_site_fract_x
_atom_site_fract_y
_atom_site_fract_z
Li1 Li 0.000 0.000 0.000
Ta1 Ta 0.125 0.125 0.375
Cr1 Cr 0.250 0.250 0.750